#w
MnMoSe2 after structural relaxation, computed with GGA-PBE.

a = 4.2875 Å, b = 4.2875 Å, c = 5.5048 Å
α = 82.65°, β = 82.65°, γ = 45.64°
Closest atoms and distances in Å follow each position.
Fractional positions:
Se  0.9696  0.9696  0.0239  1 Mn 2.45, 3 Mo 2.59-2.69
Se  0.5304  0.5304  0.4761  1 Mn 2.45, 3 Mo 2.59-2.69
Mo  0.2500  0.2500  0.2500  6 Se 2.59-2.69
Mn  0.7500  0.7500  0.7500  2 Se 2.45

Properties
Crystal system   monoclinic
DOS(E_F)   2.819 states/eV/cell
Spin magnetization   3.9 μB/f.u.

#x
MnMoSe2 after structural relaxation, computed with GGA-PBE.

a = 4.6489 Å, b = 4.6489 Å, c = 5.0335 Å
α = 79.50°, β = 79.50°, γ = 40.93°
Closest atoms and distances in Å follow each position.
Fractional positions:
Se  0.9917  0.9917  0.0717  3 Mo 2.57-2.67
Se  0.7544  0.7544  0.6346  3 Mn 2.42-2.58, 2 Mo 2.57
Mo  0.2651  0.2651  0.2360  5 Se 2.57-2.67, 1 Mn 2.76
Mn  0.4888  0.4888  0.5576  3 Se 2.42-2.58

Properties
Crystal system   monoclinic
DOS(E_F)   1.778 states/eV/cell
Spin magnetization   3.2 μB/f.u.

Short version: #x is the most stable of them.

#w
HfScS2 after structural relaxation, computed with GGA-PBE.

a = 4.5262 Å, b = 4.5262 Å, c = 4.5262 Å
α = 60.00°, β = 60.00°, γ = 60.00°
Closest atoms and distances in Å follow each position.
Fractional positions:
S  0.2500  0.2500  0.2500  4 Hf 2.77, 4 Sc 2.77
S  0.7500  0.7500  0.7500  4 Hf 2.77, 4 Sc 2.77
Hf  0.5000  0.5000  0.5000  8 S 2.77
Sc  0.0000  0.0000  0.0000  8 S 2.77

Properties
Crystal system   cubic
DOS(E_F)   2.457 states/eV/cell
Spin magnetization   0.0 μB/f.u.

#x
HfScS2 after structural relaxation, computed with GGA-PBE.

a = 3.4836 Å, b = 3.4836 Å, c = 6.9637 Å
α = 75.51°, β = 75.51°, γ = 60.00°
Closest atoms and distances in Å follow each position.
Fractional positions:
S  0.2499  0.2499  0.2503  3 Sc 2.62, 3 Hf 2.62
S  0.0840  0.0840  0.7479  3 Hf 2.59, 3 Sc 2.62
Sc  0.6669  0.6669  0.9993  6 S 2.62
Hf  0.4992  0.4992  0.5024  6 S 2.59-2.62

Properties
Crystal system   trigonal
DOS(E_F)   2.839 states/eV/cell
Spin magnetization   0.0 μB/f.u.

Short version: #x is the most stable of them.

#w
Rb3LiF4 after structural relaxation, computed with GGA-PBE.

a = 5.8147 Å, b = 7.4168 Å, c = 8.5901 Å
α = 90.00°, β = 90.00°, γ = 90.00°
Closest atoms and distances in Å follow each position.
Fractional positions:
F  0.1726  0.7913  0.5000  1 Li 1.90
F  0.6726  0.2087  0.0000  1 Li 1.90
F  0.0750  0.3008  0.7960  1 Li 2.01
F  0.5627  0.0785  0.5000  1 Li 1.97
F  0.0627  0.9214  0.0000  1 Li 1.97
F  0.5749  0.6992  0.2961  1 Li 2.01
F  0.5749  0.6992  0.7039  1 Li 2.01
F  0.0750  0.3008  0.2040  1 Li 2.01
Rb  0.5442  0.3297  0.2658  4 F 2.56-2.79
Rb  0.5442  0.3297  0.7342  4 F 2.56-2.79
Rb  0.0441  0.6705  0.7658  4 F 2.56-2.79
Rb  0.5449  0.8729  0.0000  4 F 2.60-2.86
Rb  0.0448  0.1269  0.5000  4 F 2.60-2.86
Rb  0.0441  0.6705  0.2342  4 F 2.56-2.79
Li  0.4968  0.8179  0.5000  4 F 1.90-2.01
Li  0.9969  0.1821  0.0000  4 F 1.90-2.01

Properties
Crystal system   orthorhombic
DOS(E_F)   0.000 states/eV/cell
Spin magnetization   0.3 μB/f.u.

#x
Rb3LiF4 after structural relaxation, computed with GGA-PBE.

a = 7.8211 Å, b = 8.1247 Å, c = 9.7307 Å
α = 90.00°, β = 90.00°, γ = 90.00°
Closest atoms and distances in Å follow each position.
Fractional positions:
Rb  0.5416  0.2115  0.9508  5 F 2.76-2.91
Rb  0.4584  0.7885  0.4508  5 F 2.76-2.91
Rb  0.6416  0.4188  0.2500  5 F 2.75-3.01
Rb  0.4584  0.7885  0.0492  5 F 2.76-2.91
Rb  0.1416  0.0812  0.2500  5 F 2.75-3.01
Rb  0.0416  0.2885  0.9508  5 F 2.76-2.91
Rb  0.9584  0.7115  0.0492  5 F 2.76-2.91
Rb  0.8584  0.9188  0.7500  5 F 2.75-3.01
Rb  0.9584  0.7115  0.4508  5 F 2.76-2.91
Rb  0.0416  0.2885  0.5492  5 F 2.76-2.91
Rb  0.3584  0.5812  0.7500  5 F 2.75-3.01
Rb  0.5416  0.2115  0.5492  5 F 2.76-2.91
F  0.1763  0.9563  0.5792  1 Li 1.91
F  0.9983  0.4179  0.2500  1 Li 1.90
F  0.7954  0.2517  0.7500  1 Li 1.91
F  0.8237  0.0437  0.0792  1 Li 1.91
F  0.2046  0.7483  0.2500  1 Li 1.91
F  0.8237  0.0437  0.4208  1 Li 1.91
F  0.3237  0.4563  0.0792  1 Li 1.91
F  0.4983  0.0821  0.2500  1 Li 1.90
F  0.5017  0.9179  0.7500  1 Li 1.90
F  0.3237  0.4563  0.4208  1 Li 1.91
F  0.2954  0.2483  0.7500  1 Li 1.91
F  0.0017  0.5821  0.7500  1 Li 1.90
F  0.6763  0.5437  0.5792  1 Li 1.91
F  0.6763  0.5437  0.9208  1 Li 1.91
F  0.1763  0.9563  0.9208  1 Li 1.91
F  0.7046  0.7517  0.2500  1 Li 1.91
Li  0.7196  0.9869  0.2500  4 F 1.90-1.91
Li  0.2804  0.0131  0.7500  4 F 1.90-1.91
Li  0.7804  0.4869  0.7500  4 F 1.90-1.91
Li  0.2196  0.5131  0.2500  4 F 1.90-1.91

Properties
Crystal system   orthorhombic
DOS(E_F)   0.000 states/eV/cell
Spin magnetization   0.2 μB/f.u.

Short version: #x is the most stable of them.

#w
ReTe2Au after structural relaxation, computed with GGA-PBE.

a = 3.0884 Å, b = 3.0884 Å, c = 10.5007 Å
α = 90.00°, β = 90.00°, γ = 114.67°
Closest atoms and distances in Å follow each position.
Fractional positions:
Te  0.0000  0.0000  0.9405  2 Re 2.66
Te  0.5000  0.5000  0.2859  2 Au 3.07, 6 Te 3.09-3.33
Au  0.0000  0.0000  0.5309  2 Re 2.78, 2 Te 3.07, 4 Au 3.09
Re  0.5000  0.5000  0.7426  2 Te 2.66, 2 Au 2.78

Properties
Crystal system   orthorhombic
DOS(E_F)   2.700 states/eV/cell
Spin magnetization   0.0 μB/f.u.

#x
ReTe2Au after structural relaxation, computed with GGA-PBE.

a = 4.9448 Å, b = 4.9448 Å, c = 4.9448 Å
α = 60.00°, β = 60.00°, γ = 60.00°
Closest atoms and distances in Å follow each position.
Fractional positions:
Te  0.2500  0.2500  0.2500  4 Au 3.03, 4 Te 3.03
Te  0.0000  0.0000  0.0000  4 Te 3.03, 4 Re 3.03
Au  0.5000  0.5000  0.5000  4 Te 3.03, 4 Re 3.03
Re  0.7500  0.7500  0.7500  4 Te 3.03, 4 Au 3.03

Properties
Crystal system   cubic
DOS(E_F)   3.433 states/eV/cell
Spin magnetization   1.6 μB/f.u.

Short version: #w is the most stable of them.